# LiCdFe2

An optimized crystal structure of LiCdFe2 (GGA-PBE, Alexandria).

Results
Total moment in μB/atom: 1.231
Symmetry: P4mm (99)
ΔH_f (0 K) in eV/atom: 0.17

```
LiCdFe2
1.0
-0.272 1.795 -2.413
-2.653 1.005 1.046
3.063 4.758 3.194
Fe Cd Li
2 1 1
Direct
0.000 0.000 0.051 Fe
0.500 0.500 0.218 Fe
0.500 0.500 0.758 Cd
0.000 0.000 0.472 Li
```

---

# LiCdFe

An optimized crystal structure of LiCdFe (GGA-PBE, Alexandria).

Results
Total moment in μB/atom: 0.855
Symmetry: P3m1 (156)
ΔH_f (0 K) in eV/atom: 0.25
ΔE to the lowest computed polymorph in eV per formula unit: 0.021

```
LiCdFe
1.0
-3.142 -2.821 1.473
4.280 -1.291 -0.133
0.355 0.920 2.519
Fe Li Cd
1 1 1
Direct
0.667 0.333 0.378 Fe
0.333 0.667 0.646 Li
0.000 0.000 0.977 Cd
```

---

# LiCdFe2

An optimized crystal structure of LiCdFe2 (GGA-PBE, Alexandria).

Results
Total moment in μB/atom: 1.242
Symmetry: Pmmm (47)
ΔH_f (0 K) in eV/atom: 0.32

```
LiCdFe2
1.0
-2.202 1.021 -1.073
-0.998 -3.797 -1.566
-2.603 -1.090 4.304
Fe Cd Li
2 1 1
Direct
0.000 0.000 0.016 Fe
0.000 0.000 0.484 Fe
0.500 0.500 0.750 Cd
0.500 0.500 0.250 Li
```

---

# LiCd4Fe

An optimized crystal structure of LiCd4Fe (GGA-PBE, Alexandria).

Results
Total moment in μB/atom: 0.474
Symmetry: F-43m (216)
ΔH_f (0 K) in eV/atom: 0.31

```
LiCd4Fe
1.0
0.000 3.980 3.980
3.980 0.000 3.980
3.980 3.980 0.000
Cd Fe Li
4 1 1
Direct
0.375 0.375 0.874 Cd
0.375 0.874 0.375 Cd
0.874 0.375 0.375 Cd
0.375 0.375 0.375 Cd
0.750 0.750 0.750 Fe
0.000 0.000 0.000 Li
```

---

# LiCd2Fe

An optimized crystal structure of LiCd2Fe (GGA-PBE, Alexandria).

Results
Total moment in μB/atom: 0.669
Symmetry: I-4m2 (119)
ΔH_f (0 K) in eV/atom: 0.20

```
LiCd2Fe
1.0
5.018 -0.001 0.000
1.668 4.733 0.000
-3.343 -2.366 2.900
Cd Fe Li
2 1 1
Direct
0.250 0.750 0.500 Cd
0.000 0.000 0.000 Cd
0.500 0.500 0.000 Fe
0.750 0.250 0.500 Li
```

---

# LiCdFe2

An optimized crystal structure of LiCdFe2 (GGA-PBE, Alexandria).

Results
Total moment in μB/atom: 1.242
Symmetry: Cm (8)
ΔH_f (0 K) in eV/atom: 0.27

```
LiCdFe2
1.0
4.549 0.001 0.018
3.740 2.590 0.018
0.700 0.219 4.929
Li Fe Cd
1 2 1
Direct
0.503 0.503 0.495 Li
0.993 0.993 0.043 Fe
0.259 0.259 0.225 Fe
0.746 0.746 0.737 Cd
```

---

# LiCdFe

An optimized crystal structure of LiCdFe (GGA-PBE, Alexandria).

Results
Total moment in μB/atom: 0.787
Symmetry: Fmm2 (42)
ΔH_f (0 K) in eV/atom: 0.27
ΔE to the lowest computed polymorph in eV per formula unit: 0.071

```
LiCdFe
1.0
7.131 0.020 -0.015
6.462 2.657 0.033
0.669 -0.650 2.556
Li Cd Fe
1 1 1
Direct
0.675 0.675 0.325 Li
0.996 0.996 0.004 Cd
0.329 0.329 0.671 Fe
```

---

# LiCdFe2

An optimized crystal structure of LiCdFe2 (GGA-PBE, Alexandria).

Results
Total moment in μB/atom: 1.246
Symmetry: C2/m (12)
ΔH_f (0 K) in eV/atom: 0.29

```
LiCdFe2
1.0
4.634 -0.009 -0.030
-2.124 4.858 0.015
0.386 0.725 2.552
Fe Cd Li
2 1 1
Direct
0.000 0.000 0.000 Fe
0.500 0.000 0.500 Fe
0.500 0.500 0.000 Cd
0.000 0.500 0.500 Li
```

---

# LiCd2Fe

An optimized crystal structure of LiCd2Fe (GGA-PBE, Alexandria).

Results
Total moment in μB/atom: 0.657
Symmetry: C2/m (12)
ΔH_f (0 K) in eV/atom: 0.19

```
LiCd2Fe
1.0
-3.569 1.629 2.749
-3.932 -1.168 2.476
2.506 -0.795 4.816
Cd Fe Li
2 1 1
Direct
0.504 0.504 0.496 Cd
0.996 0.996 0.004 Cd
0.250 0.250 0.250 Fe
0.750 0.750 0.750 Li
```

---

# LiCdFe2

An optimized crystal structure of LiCdFe2 (GGA-PBE, Alexandria).

Results
Total moment in μB/atom: 1.226
Symmetry: Imm2 (44)
ΔH_f (0 K) in eV/atom: 0.27

```
LiCdFe2
1.0
-4.193 2.998 0.217
-3.251 -0.921 3.898
4.761 1.401 -1.410
Fe Li Cd
2 1 1
Direct
0.975 0.975 0.000 Fe
0.770 0.270 0.500 Fe
0.510 0.510 0.000 Li
0.244 0.744 0.500 Cd
```

---

# LiCd2Fe

An optimized crystal structure of LiCd2Fe (GGA-PBE, Alexandria).

Results
Total moment in μB/atom: 0.672
Symmetry: Cmm2 (35)
ΔH_f (0 K) in eV/atom: 0.19

```
LiCd2Fe
1.0
-2.149 2.102 -0.163
-1.931 -1.845 1.389
2.188 2.756 6.701
Cd Li Fe
2 1 1
Direct
0.500 0.500 0.279 Cd
0.000 0.000 0.968 Cd
0.500 0.500 0.732 Li
0.000 0.000 0.522 Fe
```

---

# LiCd2Fe

An optimized crystal structure of LiCd2Fe (GGA-PBE, Alexandria).

Results
Total moment in μB/atom: 0.622
Symmetry: Pmm2 (25)
ΔH_f (0 K) in eV/atom: 0.07

```
LiCd2Fe
1.0
4.711 0.000 0.000
0.000 3.002 -0.006
0.000 0.010 4.711
Cd Fe Li
2 1 1
Direct
0.000 0.125 0.876 Cd
0.500 0.125 0.374 Cd
0.000 0.625 0.376 Fe
0.500 0.625 0.874 Li
```

---

# LiCdFe2

An optimized crystal structure of LiCdFe2 (GGA-PBE, Alexandria).

Results
Total moment in μB/atom: 1.270
Symmetry: Cmm2 (35)
ΔH_f (0 K) in eV/atom: 0.21

```
LiCdFe2
1.0
-1.009 1.608 -1.927
1.929 -1.509 -1.150
-5.835 -5.982 -1.936
Fe Cd Li
2 1 1
Direct
0.000 0.000 0.030 Fe
0.500 0.500 0.231 Fe
0.500 0.500 0.759 Cd
0.000 0.000 0.480 Li
```

---

# LiCdFe

An optimized crystal structure of LiCdFe (GGA-PBE, Alexandria).

Results
Total moment in μB/atom: 0.836
Symmetry: I4mm (107)
ΔH_f (0 K) in eV/atom: 0.24
ΔE to the lowest computed polymorph in eV per formula unit: 0.000

```
LiCdFe
1.0
-0.909 -0.128 6.281
-0.333 -3.856 5.032
2.576 2.198 -5.370
Fe Cd Li
1 1 1
Direct
0.672 0.672 0.000 Fe
0.003 0.003 0.000 Cd
0.325 0.325 0.000 Li
```

---

# LiCd3Fe

An optimized crystal structure of LiCd3Fe (GGA-PBE, Alexandria).

Results
Total moment in μB/atom: 0.383
Symmetry: Pm-3m (221)
ΔH_f (0 K) in eV/atom: 0.40
ΔE to the lowest computed polymorph in eV per formula unit: 0.000

```
LiCd3Fe
1.0
-1.511 -4.228 2.319
2.629 1.314 4.110
-4.042 2.436 1.807
Cd Li Fe
3 1 1
Direct
0.000 0.500 0.000 Cd
0.500 0.000 0.000 Cd
0.000 0.000 0.500 Cd
0.500 0.500 0.500 Li
0.000 0.000 0.000 Fe
```

---

# LiCdFe

An optimized crystal structure of LiCdFe (GGA-PBE, Alexandria).

Results
Total moment in μB/atom: 0.861
Symmetry: Imm2 (44)
ΔH_f (0 K) in eV/atom: 0.26
ΔE to the lowest computed polymorph in eV per formula unit: 0.055

```
LiCdFe
1.0
-0.740 -4.622 -1.445
0.201 -3.615 3.300
-2.143 4.157 -1.456
Cd Li Fe
1 1 1
Direct
0.002 0.002 0.000 Cd
0.332 0.332 0.000 Li
0.667 0.667 0.000 Fe
```

---

# LiCdFe2

An optimized crystal structure of LiCdFe2 (GGA-PBE, Alexandria).

Results
Total moment in μB/atom: 1.315
Symmetry: R-3m (166)
ΔH_f (0 K) in eV/atom: 0.40

```
LiCdFe2
1.0
9.630 0.013 0.008
9.246 2.693 0.008
9.246 1.326 2.344
Fe Cd Li
2 1 1
Direct
0.996 0.996 0.996 Fe
0.504 0.504 0.504 Fe
0.750 0.750 0.750 Cd
0.250 0.250 0.250 Li
```

---

# LiCdFe2

An optimized crystal structure of LiCdFe2 (GGA-PBE, Alexandria).

Results
Total moment in μB/atom: 1.224
Symmetry: Cmmm (65)
ΔH_f (0 K) in eV/atom: 0.32

```
LiCdFe2
1.0
-2.178 4.449 -0.198
-1.919 -3.659 -2.740
-1.588 -0.687 2.029
Fe Cd Li
2 1 1
Direct
0.000 0.000 0.000 Fe
0.500 0.500 0.000 Fe
0.000 0.500 0.500 Cd
0.500 0.000 0.500 Li
```

---

# LiCd2Fe

An optimized crystal structure of LiCd2Fe (GGA-PBE, Alexandria).

Results
Total moment in μB/atom: 0.691
Symmetry: F-43m (216)
ΔH_f (0 K) in eV/atom: 0.23

```
LiCd2Fe
1.0
-2.852 2.881 2.196
-1.297 -0.896 4.333
1.572 2.607 3.463
Fe Cd Li
1 2 1
Direct
0.500 0.500 0.500 Fe
0.250 0.250 0.250 Cd
0.000 0.000 0.000 Cd
0.750 0.750 0.750 Li
```

---

# LiCdFe2

An optimized crystal structure of LiCdFe2 (GGA-PBE, Alexandria).

Results
Total moment in μB/atom: 1.195
Symmetry: P4/mmm (123)
ΔH_f (0 K) in eV/atom: 0.25

```
LiCdFe2
1.0
-2.498 2.003 1.648
-0.967 -2.842 1.988
2.879 1.121 3.003
Fe Li Cd
2 1 1
Direct
0.000 0.000 0.000 Fe
0.500 0.500 0.000 Fe
0.500 0.000 0.500 Li
0.000 0.500 0.500 Cd
```

---

# Li3CdFe

An optimized crystal structure of Li3CdFe (GGA-PBE, Alexandria).

Results
Total moment in μB/atom: 0.501
Symmetry: Pm-3m (221)
ΔH_f (0 K) in eV/atom: 0.63
ΔE to the lowest computed polymorph in eV per formula unit: 0.000

```
Li3CdFe
1.0
-3.996 -2.272 1.211
1.041 -3.471 -3.076
2.355 -2.321 3.415
Cd Li Fe
1 3 1
Direct
0.500 0.500 0.500 Cd
0.000 0.000 0.500 Li
0.500 0.000 0.000 Li
0.000 0.500 0.000 Li
0.000 0.000 0.000 Fe
```

---

# LiCd2Fe

An optimized crystal structure of LiCd2Fe (GGA-PBE, Alexandria).

Results
Total moment in μB/atom: 0.665
Symmetry: I-42d (122)
ΔH_f (0 K) in eV/atom: 0.47

```
LiCd2Fe
1.0
-3.197 1.931 1.598
-1.589 -3.565 1.128
2.174 -0.198 9.754
Li Cd Fe
2 4 2
Direct
0.250 0.750 0.500 Li
0.500 0.500 0.000 Li
0.875 0.878 0.750 Cd
0.122 0.625 0.250 Cd
0.628 0.125 0.250 Cd
0.375 0.372 0.750 Cd
0.000 0.000 0.000 Fe
0.750 0.250 0.500 Fe
```

---

# LiCdFe2

An optimized crystal structure of LiCdFe2 (GGA-PBE, Alexandria).

Results
Total moment in μB/atom: 1.320
Symmetry: I-42d (122)
ΔH_f (0 K) in eV/atom: 0.48

```
LiCdFe2
1.0
-1.692 -3.083 -0.447
1.178 -1.104 3.156
-8.125 1.611 5.588
Cd Fe Li
2 4 2
Direct
0.000 0.000 0.000 Cd
0.750 0.250 0.500 Cd
0.375 0.373 0.750 Fe
0.123 0.625 0.250 Fe
0.875 0.877 0.750 Fe
0.627 0.125 0.250 Fe
0.500 0.500 0.000 Li
0.250 0.750 0.500 Li
```

---

# LiCdFe2

An optimized crystal structure of LiCdFe2 (GGA-PBE, Alexandria).

Results
Total moment in μB/atom: 1.264
Symmetry: Cmmm (65)
ΔH_f (0 K) in eV/atom: 0.42

```
LiCdFe2
1.0
2.669 0.413 0.000
-0.460 2.661 0.000
0.000 0.000 7.991
Li Fe Cd
1 2 1
Direct
0.500 0.500 0.250 Li
0.000 0.000 0.482 Fe
0.000 0.000 0.018 Fe
0.500 0.500 0.750 Cd
```

---

# LiCd2Fe

An optimized crystal structure of LiCd2Fe (GGA-PBE, Alexandria).

Results
Total moment in μB/atom: 0.661
Symmetry: P4/mmm (123)
ΔH_f (0 K) in eV/atom: 0.08

```
LiCd2Fe
1.0
-1.278 -2.638 -0.611
1.853 -0.361 -2.324
5.014 -3.480 4.537
Fe Cd Li
1 2 1
Direct
0.500 0.500 0.250 Fe
0.000 0.000 0.004 Cd
0.000 0.000 0.496 Cd
0.500 0.500 0.750 Li
```

---

# LiCd2Fe

An optimized crystal structure of LiCd2Fe (GGA-PBE, Alexandria).

Results
Total moment in μB/atom: 0.622
Symmetry: Imm2 (44)
ΔH_f (0 K) in eV/atom: 0.16

```
LiCd2Fe
1.0
-4.010 -2.815 2.725
0.637 -5.470 1.052
1.796 5.267 0.677
Li Fe Cd
1 1 2
Direct
0.260 0.760 0.500 Li
0.499 0.499 0.000 Fe
0.003 0.003 0.000 Cd
0.738 0.238 0.500 Cd
```

---

# LiCdFe2N

An optimized crystal structure of LiCdFe2N (GGA-PBE, Alexandria).

Results
Total moment in μB/atom: 0.433
Symmetry: P4/mmm (123)
Uncorrected formation energy in eV per atom: -0.1229

```
LiCdFe2N
1.0
-2.957 -1.382 1.772
2.120 -0.744 2.957
-0.858 3.875 1.590
Fe Cd Li N
2 1 1 1
Direct
0.000 0.500 0.000 Fe
0.500 0.000 0.000 Fe
0.500 0.500 0.500 Cd
0.000 0.000 0.500 Li
0.000 0.000 0.000 N
```

---

# LiCdFe2Os

An optimized crystal structure of LiCdFe2Os (GGA-PBE, Alexandria).

Results
Total moment in μB/atom: 0.072
Symmetry: P4/mmm (123)
ΔH_f (0 K) in eV/atom: 1.40

```
LiCdFe2Os
1.0
-2.692 1.315 2.683
1.365 -2.832 2.758
2.684 2.651 1.394
Li Os Fe Cd
1 1 2 1
Direct
0.000 0.000 0.000 Li
0.000 0.500 0.000 Os
0.000 0.000 0.500 Fe
0.500 0.000 0.000 Fe
0.500 0.500 0.500 Cd
```

---

# LiCdFePt

An optimized crystal structure of LiCdFePt (GGA-PBE, Alexandria).

Results
Total moment in μB/atom: 0.758
Symmetry: F-43m (216)
ΔH_f (0 K) in eV/atom: -0.17

```
LiCdFePt
1.0
4.433 0.000 0.000
2.217 3.839 0.000
2.217 1.280 3.620
Li Pt Cd Fe
1 1 1 1
Direct
0.750 0.750 0.750 Li
0.250 0.250 0.250 Pt
0.000 0.000 0.000 Cd
0.500 0.500 0.500 Fe
```

---

# LiCdFeRe2

An optimized crystal structure of LiCdFeRe2 (GGA-PBE, Alexandria).

Results
Total moment in μB/atom: 0.007
Symmetry: P4/mmm (123)
ΔH_f (0 K) in eV/atom: 1.69

```
LiCdFeRe2
1.0
-2.983 0.729 2.824
1.649 -2.993 2.514
2.424 2.866 1.821
Fe Li Re Cd
1 1 2 1
Direct
0.500 0.500 0.500 Fe
0.000 0.000 0.000 Li
0.500 0.000 0.000 Re
0.000 0.000 0.500 Re
0.000 0.500 0.000 Cd
```